PuAgTe after structural relaxation, computed with GGA-PBE.

The space group is P4/nmm (No. 129, origin choice 2) and the conventional cell measures 4.3203, 4.3203 and 8.6688 Å, with angles of 90.00, 90.00 and 90.00 degrees. The distinct sites, in fractional coordinates, are Pu at (0.2500, 0.2500, 0.2076), Ag at (0.2500, 0.7500, 0.5000) and Te at (0.2500, 0.2500, 0.8422).

For the uncorrected energy, the calculation gives -43.59 eV per cell. The relative energy among the computed polymorphs is 0 meV/atom. Its uncorrected formation energy is -490 meV per atom. For the density of states at the Fermi level, the calculation gives 22.8 states/eV/cell.

***

FeICl2 after structural relaxation, computed with GGA-PBE.

The space group is I-42d (No. 122) and the conventional cell measures 6.8005, 6.8005 and 9.5819 Å, with angles of 90.00, 90.00 and 90.00 degrees. The distinct sites, in fractional coordinates, are Fe at (0.0000, 0.0000, 0.0000), I at (0.0000, 0.0000, 0.5000) and Cl at (0.0738, 0.2500, 0.1250).

For the uncorrected energy, the calculation gives -53.92 eV per cell. The relative energy among the computed polymorphs is 412 meV/atom. Its uncorrected formation energy is 57 meV per atom. For the density of states at the Fermi level, the calculation gives 27.8 states/eV/cell.

***

ZrBRu3 after structural relaxation, computed with GGA-PBE.

The space group is I-4m2 (No. 119) and the conventional cell measures 4.8409, 4.8409 and 13.9035 Å, with angles of 90.00, 90.00 and 90.00 degrees. The distinct sites, in fractional coordinates, are Zr at (0.0000, 0.0000, 0.1908), B at (0.0000, 0.0000, 0.5000), B at (0.0000, 0.5000, 0.2500), Ru at (0.0000, 0.2562, 0.3824) and Ru at (0.0000, 0.5000, 0.5665).

For the uncorrected energy, the calculation gives -169.17 eV per cell. For the density of states at the Fermi level, the calculation gives 19.5 states/eV/cell.